# 1
LaBeGa, optimized geometry, DFT GGA-PBE; Fermi-level density of states = 5.38 states/eV per cell; energy relative to the lowest polymorph listed for this composition = 44 meV/atom; magnetic moment = 0.0 μB/f.u.; total DFT energy (no corrections) = -4.21 eV per atom
1.0
3.901 0.000 0.000
-0.001 5.587 0.000
-1.945 -1.326 5.789
La Be Ga
2 2 2
Direct
0.108 0.309 0.214
0.892 0.691 0.786
0.223 0.878 0.447
0.777 0.122 0.553
0.382 0.209 0.764
0.618 0.791 0.236

# 2
La2BeGa, optimized geometry, DFT GGA-PBE; Fermi-level density of states = 4.07 states/eV per cell; energy relative to the lowest polymorph listed for this composition = 0 meV/atom; magnetic moment = 0.0 μB/f.u.; total DFT energy (no corrections) = -4.32 eV per atom
1.0
3.675 0.000 0.000
0.000 3.675 0.000
0.000 0.000 7.388
La Be Ga
2 1 1
Direct
0.000 0.000 0.233
0.000 0.000 0.767
0.500 0.500 0.000
0.500 0.500 0.500

# 3
LaBeGa, optimized geometry, DFT GGA-PBE; Fermi-level density of states = 0.88 states/eV per cell; energy relative to the lowest polymorph listed for this composition = 36 meV/atom; magnetic moment = 0.0 μB/f.u.; total DFT energy (no corrections) = -4.21 eV per atom
1.0
4.483 0.000 0.000
0.000 7.621 0.000
0.000 0.000 7.140
La Be Ga
4 4 4
Direct
0.000 0.000 0.000
0.000 0.500 0.090
0.500 0.000 0.590
0.500 0.500 0.500
0.000 0.176 0.379
0.000 0.824 0.379
0.500 0.324 0.879
0.500 0.676 0.879
0.000 0.304 0.702
0.000 0.696 0.702
0.500 0.196 0.202
0.500 0.804 0.202

# 4
LaBeGa, optimized geometry, DFT GGA-PBE; Fermi-level density of states = 5.97 states/eV per cell; energy relative to the lowest polymorph listed for this composition = 180 meV/atom; magnetic moment = 0.0 μB/f.u.; total DFT energy (no corrections) = -4.07 eV per atom
1.0
3.908 0.000 0.000
-1.947 5.541 0.000
-0.008 -2.112 6.220
La Be Ga
2 2 2
Direct
0.000 0.000 0.000
0.333 0.664 0.456
0.078 0.154 0.587
0.661 0.321 0.748
0.269 0.536 0.904
0.593 0.184 0.381

# 5
LaBeGa, optimized geometry, DFT GGA-PBE; Fermi-level density of states = 4.27 states/eV per cell; energy relative to the lowest polymorph listed for this composition = 154 meV/atom; magnetic moment = 0.0 μB/f.u.; total DFT energy (no corrections) = -4.10 eV per atom
1.0
4.007 0.000 0.000
-0.004 5.419 0.000
-2.001 -0.246 5.572
La Be Ga
2 2 2
Direct
0.000 0.000 0.000
0.405 0.476 0.816
0.273 0.931 0.549
0.716 0.750 0.435
0.132 0.531 0.270
0.717 0.208 0.438

# 6
LaBeGa, optimized geometry, DFT GGA-PBE; Fermi-level density of states = 11.97 states/eV per cell; energy relative to the lowest polymorph listed for this composition = 71 meV/atom; magnetic moment = 0.0 μB/f.u.; total DFT energy (no corrections) = -4.18 eV per atom
1.0
4.075 0.000 0.000
0.000 7.185 0.000
0.000 0.000 8.927
La Be Ga
4 4 4
Direct
0.000 0.000 0.249
0.000 0.000 0.751
0.500 0.500 0.251
0.500 0.500 0.749
0.000 0.343 0.000
0.000 0.657 0.000
0.500 0.157 0.500
0.500 0.843 0.500
0.000 0.319 0.500
0.000 0.681 0.500
0.500 0.181 0.000
0.500 0.819 0.000

# 7
LaBeGa, optimized geometry, DFT GGA-PBE; Fermi-level density of states = 3.76 states/eV per cell; energy relative to the lowest polymorph listed for this composition = 149 meV/atom; magnetic moment = 0.0 μB/f.u.; total DFT energy (no corrections) = -4.10 eV per atom
1.0
4.043 0.000 0.000
0.000 5.408 0.000
-2.021 -0.004 5.476
La Be Ga
2 2 2
Direct
0.202 0.249 0.408
0.798 0.751 0.592
0.075 0.749 0.147
0.925 0.251 0.853
0.500 0.000 0.000
0.500 0.500 0.000

# 8
LaBeGa, optimized geometry, DFT GGA-PBE; Fermi-level density of states = 9.36 states/eV per cell; energy relative to the lowest polymorph listed for this composition = 39 meV/atom; magnetic moment = 0.0 μB/f.u.; total DFT energy (no corrections) = -4.21 eV per atom
1.0
10.741 0.000 0.000
0.000 3.999 0.000
-4.262 0.000 5.708
La Be Ga
4 4 4
Direct
0.062 0.000 0.331
0.438 0.500 0.669
0.562 0.500 0.331
0.938 0.000 0.669
0.129 0.500 0.070
0.371 0.000 0.930
0.629 0.000 0.070
0.871 0.500 0.930
0.218 0.500 0.824
0.282 0.000 0.176
0.718 0.000 0.824
0.782 0.500 0.176

# 9
LaBeGa, optimized geometry, DFT GGA-PBE; Fermi-level density of states = 1.86 states/eV per cell; energy relative to the lowest polymorph listed for this composition = 406 meV/atom; magnetic moment = 0.0 μB/f.u.; total DFT energy (no corrections) = -3.85 eV per atom
1.0
4.977 0.000 0.000
-2.489 4.311 0.000
0.000 0.000 6.230
La Be Ga
2 2 2
Direct
0.333 0.667 0.250
0.667 0.333 0.750
0.000 0.000 0.000
0.000 0.000 0.500
0.333 0.667 0.750
0.667 0.333 0.250

# 10
LaBeGa, optimized geometry, DFT GGA-PBE; Fermi-level density of states = 9.47 states/eV per cell; energy relative to the lowest polymorph listed for this composition = 195 meV/atom; magnetic moment = 0.0 μB/f.u.; total DFT energy (no corrections) = -4.06 eV per atom
1.0
6.381 0.000 0.000
0.000 4.513 0.000
0.000 0.000 8.618
La Be Ga
4 4 4
Direct
0.180 0.250 0.081
0.320 0.750 0.581
0.680 0.250 0.419
0.820 0.750 0.919
0.124 0.250 0.420
0.376 0.750 0.920
0.624 0.250 0.080
0.876 0.750 0.580
0.015 0.250 0.702
0.485 0.750 0.202
0.515 0.250 0.798
0.985 0.750 0.298

# 11
LaBeGa, optimized geometry, DFT GGA-PBE; Fermi-level density of states = 8.77 states/eV per cell; energy relative to the lowest polymorph listed for this composition = 72 meV/atom; magnetic moment = 0.0 μB/f.u.; total DFT energy (no corrections) = -4.18 eV per atom
1.0
4.070 0.000 0.000
0.000 7.195 0.000
0.000 0.000 4.463
La Be Ga
2 2 2
Direct
0.000 0.000 0.000
0.500 0.500 0.000
0.000 0.345 0.499
0.000 0.655 0.499
0.500 0.180 0.500
0.500 0.820 0.500

# 12
La2BeGaNi6, optimized geometry, DFT GGA-PBE; Fermi-level density of states = 9.92 states/eV per cell; magnetic moment = 0.0 μB/f.u.; total DFT energy (no corrections) = -5.28 eV per atom
1.0
0.000 4.339 4.339
4.339 0.000 4.339
4.339 4.339 0.000
La Be Ga Ni
2 1 1 6
Direct
0.250 0.250 0.250
0.750 0.750 0.750
0.000 0.000 0.000
0.500 0.500 0.500
0.232 0.232 0.768
0.232 0.768 0.232
0.232 0.768 0.768
0.768 0.232 0.232
0.768 0.232 0.768
0.768 0.768 0.232

Please write out number 11 again, unchanged.
LaBeGa, optimized geometry, DFT GGA-PBE; Fermi-level density of states = 8.77 states/eV per cell; energy relative to the lowest polymorph listed for this composition = 72 meV/atom; magnetic moment = 0.0 μB/f.u.; total DFT energy (no corrections) = -4.18 eV per atom
1.0
4.070 0.000 0.000
0.000 7.195 0.000
0.000 0.000 4.463
La Be Ga
2 2 2
Direct
0.000 0.000 0.000
0.500 0.500 0.000
0.000 0.345 0.499
0.000 0.655 0.499
0.500 0.180 0.500
0.500 0.820 0.500

What is the total DFT energy (no corrections) in the first record?
-4.21 eV per atom

magnetic moment of number 4 (LaBeGa)?
0.0 μB/f.u.

Among the records above, which one has the lowest total DFT energy (no corrections)?
La2BeGaNi6